Density functional theory data (PBE with a Hubbard U) for a relaxed NaYVO4 crystal.

Cell lengths 5.881, 6.077, 6.788 Å; angles 90.00, 113.73, 90.00 degrees
Fractional coordinates of all 14 atoms:
1 Na 0.174 0.250 0.457
2 Na 0.826 0.750 0.543
3 Y 0.331 0.250 0.978
4 Y 0.669 0.750 0.022
5 V 0.230 0.750 0.175
6 V 0.770 0.250 0.825
7 O 0.006 0.750 0.909
8 O 0.046 0.750 0.328
9 O 0.475 0.536 0.199
10 O 0.475 0.964 0.199
11 O 0.525 0.036 0.801
12 O 0.525 0.464 0.801
13 O 0.954 0.250 0.672
14 O 0.994 0.250 0.091

Results
Space-group type ... P2_1/m, No. 11
M_tot ... 0.1429 μB per atom
VASP energy ... -103.5 eV per cell
V ... 15.861 Å³ per atom